Entry 1:
The following is a PBE-GGA calculation of a geometry-optimized PrSmSn structure, from Alexandria.

Cell lengths 3.974, 5.218, 5.218 Å; angles 120.00, 90.00, 90.00 degrees
Fractional positions:
Sn 0.642 0.667 0.333
Pr 0.961 0.000 0.000
Sm 0.397 0.333 0.667

Properties
ΔE_f = -372 meV/atom
excess energy over the best structure of this formula in the dataset = 223 meV per atom

***

Entry 2:
The following is a PBE-GGA calculation of a geometry-optimized PrSm5Sn3 structure, from Alexandria.

Cell lengths 6.711, 9.565, 9.565 Å; angles 120.00, 90.00, 90.00 degrees
Fractional positions:
Sn 0.750 0.000 0.665
Sn 0.250 0.335 0.000
Sn 0.250 0.000 0.335
Sn 0.750 0.665 0.000
Sn 0.750 0.335 0.335
Sn 0.250 0.665 0.665
Sm 0.250 0.000 0.667
Sm 0.250 0.333 0.333
Sm 0.750 0.333 0.000
Sm 0.500 0.333 0.667
Sm 0.000 0.333 0.667
Sm 0.750 0.000 0.333
Sm 0.000 0.667 0.333
Sm 0.250 0.667 0.000
Sm 0.750 0.667 0.667
Sm 0.500 0.667 0.333
Pr 0.000 0.000 0.000
Pr 0.500 0.000 0.000

Properties
ΔE_f = -577 meV/atom

***

Entry 3:
The following is a PBE-GGA calculation of a geometry-optimized Pr4SmSn15 structure, from Alexandria.

Cell lengths 4.719, 4.719, 24.612 Å; angles 90.00, 90.00, 90.00 degrees
Fractional positions:
Pr 0.000 0.000 0.199
Pr 0.000 0.000 0.399
Pr 0.000 0.000 0.801
Pr 0.000 0.000 0.601
Sn 0.000 0.500 0.701
Sn 0.500 0.500 0.600
Sn 0.500 0.500 0.400
Sn 0.000 0.500 0.098
Sn 0.000 0.500 0.500
Sn 0.000 0.500 0.299
Sn 0.500 0.000 0.098
Sn 0.500 0.000 0.902
Sn 0.500 0.000 0.299
Sn 0.500 0.000 0.701
Sn 0.500 0.500 0.801
Sn 0.000 0.500 0.902
Sn 0.500 0.500 0.199
Sn 0.500 0.500 0.000
Sn 0.500 0.000 0.500
Sm 0.000 0.000 0.000

Properties
ΔE_f = -497 meV/atom

***

Entry 4:
The following is a PBE-GGA calculation of a geometry-optimized TbPrSmSn structure, from Alexandria.

Cell lengths 5.531, 5.531, 5.531 Å; angles 60.00, 60.00, 60.00 degrees
Fractional positions:
Sn 0.250 0.250 0.250
Pr 0.500 0.500 0.500
Tb 0.750 0.750 0.750
Sm 0.000 0.000 0.000

Properties
ΔE_f = -258 meV/atom

***

Entry 5:
The following is a PBE-GGA calculation of a geometry-optimized PrSmSnTe structure, from Alexandria.

Cell lengths 4.508, 4.508, 7.867 Å; angles 73.35, 73.35, 60.00 degrees
Fractional positions:
Te 0.192 0.192 0.423
Sm 0.441 0.441 0.677
Sn 0.696 0.696 0.913
Pr 0.947 0.947 0.158

Properties
formation energy without anion corrections = -1.11 eV per atom

***

Entry 6:
The following is a PBE-GGA calculation of a geometry-optimized PrSmTmSn structure, from Alexandria.

Cell lengths 5.503, 5.503, 5.503 Å; angles 60.00, 60.00, 60.00 degrees
Fractional positions:
Sm 0.500 0.500 0.500
Sn 0.250 0.250 0.250
Pr 0.000 0.000 0.000
Tm 0.750 0.750 0.750

Properties
ΔE_f = -258 meV/atom

***

Entry 7:
The following is a PBE-GGA calculation of a geometry-optimized PrSm2Zn2Sn2 structure, from Alexandria.

Cell lengths 4.671, 4.671, 10.079 Å; angles 76.60, 76.60, 60.00 degrees
Fractional positions:
Pr 0.000 0.000 0.000
Zn 0.582 0.582 0.255
Zn 0.418 0.418 0.745
Sn 0.266 0.266 0.202
Sn 0.734 0.734 0.798
Sm 0.868 0.868 0.395
Sm 0.132 0.132 0.605

Properties
ΔE_f = -383 meV/atom

***

Entry 8:
The following is a PBE-GGA calculation of a geometry-optimized Pr2SmZn2Sn2 structure, from Alexandria.

Cell lengths 4.649, 4.649, 10.321 Å; angles 76.98, 76.98, 60.00 degrees
Fractional positions:
Sn 0.730 0.730 0.811
Sn 0.270 0.270 0.189
Zn 0.586 0.586 0.241
Zn 0.414 0.414 0.759
Pr 0.130 0.130 0.611
Pr 0.870 0.870 0.389
Sm 0.000 0.000 0.000

Properties
ΔE_f = -384 meV/atom

***

The records above yield size of the total moment values of 0.00; 4.62; 0.00; 0.00; 0.00; 0.00; 0.00; 0.00 μB/cell, respectively.